Entry 1:
! Sb3Mo, relaxed, DFT GGA-PBE; values from VASP
&SYSTEM
  ibrav = 0, nat = 4, ntyp = 2
/
ATOMIC_SPECIES
Mo 95.94 Mo.upf
Sb 121.76 Sb.upf
ATOMIC_POSITIONS angstrom
Mo 0.000 0.000 0.000
Sb -3.957 -1.710 -8.644
Sb -1.982 -1.999 -5.103
Sb -1.459 0.810 -2.211
CELL_PARAMETERS angstrom
-1.453 3.097 -0.649
0.200 -1.217 -6.256
-4.163 -2.781 -3.950
! Uncorrected formation energy in eV/atom: 0.159
! Relative energy among the computed polymorphs in meV/atom: 0.0
! SG: Cmmm, No. 65


Entry 2:
! Rb2Zn6As3, relaxed, DFT GGA-PBE; values from VASP
&SYSTEM
  ibrav = 0, nat = 11, ntyp = 3
/
ATOMIC_SPECIES
Rb 85.47 Rb.upf
Zn 65.41 Zn.upf
As 74.92 As.upf
ATOMIC_POSITIONS angstrom
Rb 0.000 4.926 0.000
Rb 0.000 2.463 4.266
Zn 2.144 1.796 -1.037
Zn 2.144 5.594 3.229
Zn 0.000 6.115 -3.530
Zn 0.000 0.000 7.060
Zn 2.144 0.000 2.073
Zn 0.000 1.275 0.736
As 2.144 4.917 -2.839
As 2.144 0.000 5.678
As 2.144 2.472 1.427
CELL_PARAMETERS angstrom
4.287 0.000 0.000
0.000 7.389 -4.266
0.000 0.000 8.532
! SG: P-62m, No. 189
! Formation energy from the elements in eV per atom: -0.155


Entry 3:
! Rb2GeBS4, relaxed, DFT GGA-PBE; values from VASP
&SYSTEM
  ibrav = 0, nat = 16, ntyp = 4
/
ATOMIC_SPECIES
Rb 85.47 Rb.upf
Ge 72.64 Ge.upf
B 10.81 B.upf
S 32.06 S.upf
ATOMIC_POSITIONS angstrom
Rb 3.037 -7.421 0.395
Rb -1.099 -6.971 -1.051
Rb 2.955 -11.899 -3.702
Rb -2.579 -5.826 -5.122
Ge 2.121 -6.895 -3.531
Ge -1.933 -1.967 -0.880
B 0.188 -8.863 -4.412
B 0.000 0.000 0.000
S -0.027 -3.056 -6.376
S 4.683 -10.314 -0.498
S 1.941 -14.268 -6.722
S -1.978 -3.879 -2.290
S 0.587 -7.172 -5.324
S 1.309 -9.007 -2.808
S 0.557 -10.352 -5.633
S 2.167 -4.984 -2.121
CELL_PARAMETERS angstrom
-3.866 -3.935 -1.761
0.372 -1.365 -7.288
5.804 -10.458 1.105
! Uncorrected formation energy in eV/atom: -0.703
! SG: Fddd, No. 70


Entry 4:
! PHPdN, relaxed, DFT GGA-PBE; values from VASP
&SYSTEM
  ibrav = 0, nat = 8, ntyp = 4
/
ATOMIC_SPECIES
P 30.97 P.upf
H 1.01 H.upf
Pd 106.42 Pd.upf
N 14.01 N.upf
ATOMIC_POSITIONS angstrom
P 0.561 0.393 0.688
P 2.196 0.127 3.729
H -0.576 2.443 3.661
H -2.500 -0.198 2.516
Pd 2.014 2.437 4.045
Pd 0.090 -0.205 2.899
N -3.730 0.557 0.288
N -2.094 0.291 3.329
CELL_PARAMETERS angstrom
-5.519 0.811 0.406
-0.288 -2.908 1.895
3.559 2.376 4.186
! Relative energy among the computed polymorphs in meV/atom: 0.0
! SG: Cm, No. 8


Entry 5:
! PmDyY2Tm5, relaxed, DFT GGA-PBE; values from VASP
&SYSTEM
  ibrav = 0, nat = 18, ntyp = 4
/
ATOMIC_SPECIES
Pm 145.00 Pm.upf
Dy 162.50 Dy.upf
Y 88.91 Y.upf
Tm 168.93 Tm.upf
ATOMIC_POSITIONS angstrom
Pm -6.007 5.649 6.620
Pm 1.753 2.158 9.052
Dy -1.708 1.310 8.144
Dy 1.892 -0.633 3.411
Y -2.392 3.469 11.054
Y -2.611 5.508 5.241
Y -0.510 2.165 3.363
Y 0.564 -1.247 8.384
Tm 3.661 -1.228 6.592
Tm -3.985 4.001 8.180
Tm 0.946 4.195 11.391
Tm -0.664 4.629 8.264
Tm -0.019 0.772 11.248
Tm -3.578 2.069 5.057
Tm 1.182 1.475 6.146
Tm -3.011 0.094 2.250
Tm -1.133 -0.770 5.129
Tm 0.056 0.141 0.443
CELL_PARAMETERS angstrom
-4.061 -3.458 1.611
6.862 -0.069 7.517
-5.004 8.039 4.642
! SG: Cmc2_1, No. 36
! Formation energy from the elements in eV per atom: 0.159


Entry 6:
! VCr2CdAs, relaxed, DFT GGA-PBE; values from VASP
&SYSTEM
  ibrav = 0, nat = 5, ntyp = 4
/
ATOMIC_SPECIES
Cr 52.00 Cr.upf
As 74.92 As.upf
V 50.94 V.upf
Cd 112.41 Cd.upf
ATOMIC_POSITIONS angstrom
Cr 1.048 1.562 1.630
Cr -1.425 -0.936 1.813
As 1.389 -1.086 3.947
V 1.766 -1.711 0.504
Cd 0.000 0.000 0.000
CELL_PARAMETERS angstrom
-2.850 -1.872 3.627
3.531 -3.423 1.008
2.097 3.123 3.260
! SG: P4/mmm, No. 123
! Formation energy from the elements in eV per atom: 1.632


Entry 7:
! Rb2TbPrSe4, relaxed, DFT GGA-PBE; values from VASP
&SYSTEM
  ibrav = 0, nat = 8, ntyp = 4
/
ATOMIC_SPECIES
Rb 85.47 Rb.upf
Tb 158.93 Tb.upf
Pr 140.91 Pr.upf
Se 78.96 Se.upf
ATOMIC_POSITIONS angstrom
Rb 2.168 -1.319 3.986
Rb 0.000 2.436 4.050
Tb 0.000 0.000 0.000
Pr 2.168 3.755 0.064
Se 2.168 1.168 1.603
Se 2.168 3.705 6.497
Se 0.000 -0.166 6.405
Se 0.000 5.039 1.695
CELL_PARAMETERS angstrom
4.336 0.000 0.000
0.000 7.510 0.128
0.000 -2.638 7.972
! Uncorrected formation energy in eV/atom: -1.733
! SG: P2/m, No. 10


Entry 8:
! Pu4PbAu2, relaxed, DFT GGA-PBE; values from VASP
&SYSTEM
  ibrav = 0, nat = 7, ntyp = 3
/
ATOMIC_SPECIES
Pb 207.20 Pb.upf
Au 196.97 Au.upf
Pu 244.00 Pu.upf
ATOMIC_POSITIONS angstrom
Pb 0.000 0.000 0.000
Au 1.550 4.303 1.935
Au -0.371 2.282 3.209
Pu 2.354 1.253 1.760
Pu -1.175 5.333 3.384
Pu 2.683 -1.032 -1.423
Pu -0.803 3.101 0.170
CELL_PARAMETERS angstrom
5.365 -2.063 -2.847
-1.605 6.201 0.339
-2.581 2.447 7.651
! SG: C2/m, No. 12
! Formation energy from the elements in eV per atom: -0.101


Entry 9:
! CaMg14Al, relaxed, DFT GGA-PBE; values from VASP
&SYSTEM
  ibrav = 0, nat = 16, ntyp = 3
/
ATOMIC_SPECIES
Ca 40.08 Ca.upf
Mg 24.30 Mg.upf
Al 26.98 Al.upf
ATOMIC_POSITIONS angstrom
Ca 0.000 0.000 5.174
Mg 4.817 -2.781 0.000
Mg 1.664 2.779 5.174
Mg 1.661 -2.781 0.000
Mg 4.814 2.779 5.174
Mg 3.239 -0.048 0.000
Mg 3.239 0.052 5.174
Mg 3.239 3.749 2.446
Mg 3.239 3.749 7.901
Mg 1.612 0.931 2.446
Mg 1.612 0.931 7.901
Mg 4.866 0.931 2.446
Mg 4.866 0.931 7.901
Mg 3.239 -1.870 2.649
Mg 3.239 -1.870 7.699
Al 0.000 0.000 0.000
CELL_PARAMETERS angstrom
3.239 -5.610 0.000
3.239 5.610 0.000
0.000 0.000 10.348
! Relative energy among the computed polymorphs in meV/atom: 14.9
! SG: P-6m2, No. 187
! Formation energy from the elements in eV per atom: 0.017


Calculated spin magnetization, 0.00; 0.00; 0.04; 0.00; 0.00; 11.06; 0.00; 24.37; 0.00 μB per formula unit (same order as the records).